(1)
Here is crystalline HoErZn at its relaxed geometry from Alexandria. Energies are from PBE-GGA.

symmetry: I4mm (107)
distance to the lowest polymorph of the same formula: 0.000 eV/atom

Cell: 3.5463 3.5463 6.5431 Å, 105.72 105.72 90.00°
Element x y z (fractional)
Ho 0.0219 0.0219 0.0439
Er 0.3105 0.3105 0.6210
Zn 0.6676 0.6676 0.3352

***

(2)
Here is crystalline HoErZn10 at its relaxed geometry from Alexandria. Energies are from PBE-GGA.

symmetry: Pmmm (47)

Cell: 4.2075 5.3012 9.1286 Å, 90.00 90.00 90.00°
Element x y z (fractional)
Er 0.0000 0.5000 0.5000
Ho 0.0000 0.0000 0.0000
Zn 0.0000 0.5000 0.1665
Zn 0.0000 0.0000 0.6653
Zn 0.5000 0.7498 0.7497
Zn 0.5000 0.2502 0.7497
Zn 0.5000 0.5000 0.0000
Zn 0.0000 0.0000 0.3347
Zn 0.0000 0.5000 0.8335
Zn 0.5000 0.0000 0.5000
Zn 0.5000 0.2502 0.2503
Zn 0.5000 0.7498 0.2503

***

| no. | ΔE_f (eV/atom) | calculated volume (A^3/atom) | magnetization (μB/atom) |
| --- | --- | --- | --- |
| 1 | -0.213 | 25.33 | 0.009 |
| 2 | -0.267 | 16.97 | 0.000 |